a.
Density functional theory data (PBE) for a geometry-optimized Tb6PrSm2 structure.

Computed properties:
crystal system: monoclinic
magnetization: 0.00 μB/f.u.

Structure (CIF):
```
data_Tb6PrSm2
_chemical_formula_sum 'Tb12 Pr2 Sm4'
_symmetry_space_group_name_H-M 'C 1 2/m 1'
_symmetry_Int_Tables_number 12
_cell_length_a 16.740
_cell_length_b 10.386
_cell_length_c 3.506
_cell_angle_alpha 90.00
_cell_angle_beta 101.98
_cell_angle_gamma 90.00
loop_
_symmetry_equiv_pos_as_xyz
'x,y,z'
'-x,-y,-z'
'-x,y,-z'
'x,-y,z'
'x+1/2,y+1/2,z'
'-x+1/2,-y+1/2,-z'
'-x+1/2,y+1/2,-z'
'x+1/2,-y+1/2,z'
loop_
_atom_site_label
_atom_site_type_symbol
_atom_site_fract_x
_atom_site_fract_y
_atom_site_fract_z
Tb1 Tb 0.000 0.183 0.000
Tb2 Tb 0.178 0.333 0.680
Pr1 Pr 0.000 0.500 0.500
Sm1 Sm 0.158 0.000 0.656
```

b.
Density functional theory data (PBE) for a geometry-optimized Tb6PrSm2 structure.

Computed properties:
crystal system: tetragonal
magnetization: 0.00 μB/f.u.

Structure (CIF):
```
data_Tb6PrSm2
_chemical_formula_sum 'Tb12 Pr2 Sm4'
_symmetry_space_group_name_H-M 'P 42/m n m'
_symmetry_Int_Tables_number 136
_symmetry_space_group_name_Hall '-P 4n 2n'
_cell_length_a 8.190
_cell_length_b 8.190
_cell_length_c 10.431
_cell_angle_alpha 90.00
_cell_angle_beta 90.00
_cell_angle_gamma 90.00
loop_
_atom_site_label
_atom_site_type_symbol
_atom_site_fract_x
_atom_site_fract_y
_atom_site_fract_z
Tb1 Tb 0.236 0.236 0.000
Tb2 Tb 0.238 0.238 0.334
Pr1 Pr 0.000 0.000 0.500
Sm1 Sm 0.000 0.000 0.168
```

Stability, highest: a

a.
Density functional theory data (PBE) for a geometry-optimized Tb5Pr2Sm2 structure.

Computed properties:
crystal system: monoclinic
magnetization: 0.00 μB/f.u.

Structure (CIF):
```
data_Tb5Pr2Sm2
_chemical_formula_sum 'Tb10 Pr4 Sm4'
_symmetry_space_group_name_H-M 'C 1 2/m 1'
_symmetry_Int_Tables_number 12
_cell_length_a 21.810
_cell_length_b 3.514
_cell_length_c 8.343
_cell_angle_alpha 90.00
_cell_angle_beta 99.83
_cell_angle_gamma 90.00
loop_
_symmetry_equiv_pos_as_xyz
'x,y,z'
'-x,-y,-z'
'-x,y,-z'
'x,-y,z'
'x+1/2,y+1/2,z'
'-x+1/2,-y+1/2,-z'
'-x+1/2,y+1/2,-z'
'x+1/2,-y+1/2,z'
loop_
_atom_site_label
_atom_site_type_symbol
_atom_site_fract_x
_atom_site_fract_y
_atom_site_fract_z
Tb1 Tb 0.000 0.000 0.000
Tb2 Tb 0.098 0.000 0.739
Tb3 Tb 0.190 0.500 0.528
Pr1 Pr 0.184 0.000 0.145
Sm1 Sm 0.047 0.500 0.356
```

b.
Density functional theory data (PBE) for a geometry-optimized Tb5Pr2Sm2 structure.

Computed properties:
crystal system: orthorhombic
magnetization: 0.00 μB/f.u.

Structure (CIF):
```
data_Tb5Pr2Sm2
_chemical_formula_sum 'Tb20 Pr8 Sm8'
_symmetry_space_group_name_H-M 'I m a 2'
_symmetry_Int_Tables_number 46
_cell_length_a 15.044
_cell_length_b 11.956
_cell_length_c 6.785
_cell_angle_alpha 90.00
_cell_angle_beta 90.00
_cell_angle_gamma 90.00
loop_
_symmetry_equiv_pos_as_xyz
'x,y,z'
'-x,-y,z'
'-x+1/2,y,z'
'x+1/2,-y,z'
'x+1/2,y+1/2,z+1/2'
'-x+1/2,-y+1/2,z+1/2'
'-x,y+1/2,z+1/2'
'x,-y+1/2,z+1/2'
loop_
_atom_site_label
_atom_site_type_symbol
_atom_site_fract_x
_atom_site_fract_y
_atom_site_fract_z
Tb1 Tb 0.053 0.246 0.000
Tb2 Tb 0.143 0.734 0.182
Tb3 Tb 0.250 0.241 0.204
Pr1 Pr 0.126 0.000 0.353
Sm1 Sm 0.000 0.000 0.813
Sm2 Sm 0.250 0.508 0.396
```

Stability, highest: b

a.
Density functional theory data (PBE) for a geometry-optimized Tb2Pr3Sm structure.

Computed properties:
crystal system: monoclinic
magnetization: 0.00 μB/f.u.

Structure (CIF):
```
data_Tb2Pr3Sm
_chemical_formula_sum 'Tb8 Pr12 Sm4'
_symmetry_space_group_name_H-M 'C 1 2/c 1'
_symmetry_Int_Tables_number 15
_cell_length_a 10.324
_cell_length_b 7.298
_cell_length_c 12.106
_cell_angle_alpha 90.00
_cell_angle_beta 115.19
_cell_angle_gamma 90.00
loop_
_symmetry_equiv_pos_as_xyz
'x,y,z'
'-x,-y,-z'
'-x,y,-z+1/2'
'x,-y,z+1/2'
'x+1/2,y+1/2,z'
'-x+1/2,-y+1/2,-z'
'-x+1/2,y+1/2,-z+1/2'
'x+1/2,-y+1/2,z+1/2'
loop_
_atom_site_label
_atom_site_type_symbol
_atom_site_fract_x
_atom_site_fract_y
_atom_site_fract_z
Tb1 Tb 0.166 0.125 0.083
Pr1 Pr 0.000 0.125 0.750
Pr2 Pr 0.167 0.375 0.584
Sm1 Sm 0.000 0.374 0.250
```

b.
Density functional theory data (PBE) for a geometry-optimized Tb2Pr3Sm structure.

Computed properties:
crystal system: orthorhombic
magnetization: 0.00 μB/f.u.

Structure (CIF):
```
data_Tb2Pr3Sm
_chemical_formula_sum 'Tb4 Pr6 Sm2'
_symmetry_space_group_name_H-M 'I m m m'
_symmetry_Int_Tables_number 71
_symmetry_space_group_name_Hall '-I 2 2'
_cell_length_a 3.524
_cell_length_b 6.021
_cell_length_c 19.799
_cell_angle_alpha 90.00
_cell_angle_beta 90.00
_cell_angle_gamma 90.00
loop_
_atom_site_label
_atom_site_type_symbol
_atom_site_fract_x
_atom_site_fract_y
_atom_site_fract_z
Tb1 Tb 0.000 0.000 0.137
Pr1 Pr 0.000 0.000 0.310
Pr2 Pr 0.000 0.500 0.500
Sm1 Sm 0.000 0.000 0.500
```

Stability, highest: a

a.
Density functional theory data (PBE) for a geometry-optimized Tb4PrSm2 structure.

Computed properties:
crystal system: monoclinic
magnetization: 0.00 μB/f.u.

Structure (CIF):
```
data_Tb4PrSm2
_chemical_formula_sum 'Tb8 Pr2 Sm4'
_symmetry_space_group_name_H-M 'P 1 21/m 1'
_symmetry_Int_Tables_number 11
_cell_length_a 6.148
_cell_length_b 6.636
_cell_length_c 11.705
_cell_angle_alpha 90.00
_cell_angle_beta 104.31
_cell_angle_gamma 90.00
loop_
_symmetry_equiv_pos_as_xyz
'x,y,z'
'-x,-y,-z'
'-x,y+1/2,-z'
'x,-y+1/2,z'
loop_
_atom_site_label
_atom_site_type_symbol
_atom_site_fract_x
_atom_site_fract_y
_atom_site_fract_z
Tb1 Tb 0.149 0.250 0.164
Tb2 Tb 0.286 0.750 0.426
Tb3 Tb 0.346 0.508 0.711
Pr1 Pr 0.032 0.250 0.861
Sm1 Sm 0.154 0.250 0.450
Sm2 Sm 0.399 0.750 0.008
```

b.
Density functional theory data (PBE) for a geometry-optimized Tb4PrSm2 structure.

Computed properties:
crystal system: monoclinic
magnetization: 0.35 μB/f.u.

Structure (CIF):
```
data_Tb4PrSm2
_chemical_formula_sum 'Tb8 Pr2 Sm4'
_symmetry_space_group_name_H-M 'P 1 2/m 1'
_symmetry_Int_Tables_number 10
_cell_length_a 7.763
_cell_length_b 7.794
_cell_length_c 8.192
_cell_angle_alpha 90.00
_cell_angle_beta 90.47
_cell_angle_gamma 90.00
loop_
_symmetry_equiv_pos_as_xyz
'x,y,z'
'-x,-y,-z'
'-x,y,-z'
'x,-y,z'
loop_
_atom_site_label
_atom_site_type_symbol
_atom_site_fract_x
_atom_site_fract_y
_atom_site_fract_z
Tb1 Tb 0.248 0.245 0.220
Tb2 Tb 0.252 0.248 0.780
Pr1 Pr 0.000 0.500 0.000
Pr2 Pr 0.000 0.500 0.500
Sm1 Sm 0.000 0.000 0.500
Sm2 Sm 0.500 0.000 0.000
Sm3 Sm 0.500 0.000 0.500
Sm4 Sm 0.500 0.500 0.500
```

Stability, highest: a

a.
Density functional theory data (PBE) for a geometry-optimized Tb4PrSm5 structure.

Computed properties:
crystal system: tetragonal
magnetization: 0.00 μB/f.u.

Structure (CIF):
```
data_Tb4PrSm5
_chemical_formula_sum 'Tb8 Pr2 Sm10'
_symmetry_space_group_name_H-M 'I 4'
_symmetry_Int_Tables_number 79
_cell_length_a 10.325
_cell_length_b 10.325
_cell_length_c 6.330
_cell_angle_alpha 90.00
_cell_angle_beta 90.00
_cell_angle_gamma 90.00
loop_
_symmetry_equiv_pos_as_xyz
'x,y,z'
'-y,x,z'
'-x,-y,z'
'y,-x,z'
'x+1/2,y+1/2,z+1/2'
'-y+1/2,x+1/2,z+1/2'
'-x+1/2,-y+1/2,z+1/2'
'y+1/2,-x+1/2,z+1/2'
loop_
_atom_site_label
_atom_site_type_symbol
_atom_site_fract_x
_atom_site_fract_y
_atom_site_fract_z
Tb1 Tb 0.047 0.348 0.000
Pr1 Pr 0.000 0.000 0.233
Sm1 Sm 0.000 0.000 0.774
Sm2 Sm 0.150 0.232 0.503
```

b.
Density functional theory data (PBE) for a geometry-optimized Tb4PrSm5 structure.

Computed properties:
crystal system: triclinic
magnetization: 0.00 μB/f.u.

Structure (CIF):
```
data_Tb4PrSm5
_chemical_formula_sum 'Tb4 Pr1 Sm5'
_symmetry_space_group_name_H-M 'P -1'
_symmetry_Int_Tables_number 2
_cell_length_a 3.610
_cell_length_b 9.541
_cell_length_c 10.210
_cell_angle_alpha 74.34
_cell_angle_beta 89.94
_cell_angle_gamma 79.12
loop_
_symmetry_equiv_pos_as_xyz
'x,y,z'
'-x,-y,-z'
loop_
_atom_site_label
_atom_site_type_symbol
_atom_site_fract_x
_atom_site_fract_y
_atom_site_fract_z
Tb1 Tb 0.101 0.298 0.301
Tb2 Tb 0.299 0.901 0.900
Pr1 Pr 0.500 0.500 0.000
Sm1 Sm 0.101 0.298 0.800
Sm2 Sm 0.300 0.901 0.400
Sm3 Sm 0.500 0.500 0.500
```

Stability, highest: b

a.
Density functional theory data (PBE) for a geometry-optimized Tb3Pr3Sm structure.

Computed properties:
crystal system: trigonal
magnetization: 0.00 μB/f.u.

Structure (CIF):
```
data_Tb3Pr3Sm
_chemical_formula_sum 'Tb18 Pr18 Sm6'
_symmetry_space_group_name_H-M 'R -3'
_symmetry_Int_Tables_number 148
_symmetry_space_group_name_Hall '-R 3'
_cell_length_a 8.8027
_cell_length_b 8.8027
_cell_length_c 22.2285
_cell_angle_alpha 90.00
_cell_angle_beta 90.00
_cell_angle_gamma 120.00
loop_
_atom_site_label
_atom_site_type_symbol
_atom_site_fract_x
_atom_site_fract_y
_atom_site_fract_z
Tb1 Tb 0.0048 0.7720 0.0580
Pr1 Pr 0.0469 0.6000 0.8819
Sm1 Sm 0.0000 0.0000 0.3444
```

b.
Density functional theory data (PBE) for a geometry-optimized Tb3Pr3Sm structure.

Computed properties:
crystal system: trigonal
magnetization: 0.00 μB/f.u.

Structure (CIF):
```
data_Tb3Pr3Sm
_chemical_formula_sum 'Tb18 Pr18 Sm6'
_symmetry_space_group_name_H-M 'R -3'
_symmetry_Int_Tables_number 148
_symmetry_space_group_name_Hall '-R 3'
_cell_length_a 8.8296
_cell_length_b 8.8296
_cell_length_c 21.8391
_cell_angle_alpha 90.00
_cell_angle_beta 90.00
_cell_angle_gamma 120.00
loop_
_atom_site_label
_atom_site_type_symbol
_atom_site_fract_x
_atom_site_fract_y
_atom_site_fract_z
Tb1 Tb 0.0588 0.2747 0.2136
Pr1 Pr 0.0028 0.2411 0.0587
Sm1 Sm 0.0000 0.0000 0.3533
```

Stability, highest: a

a.
Density functional theory data (PBE) for a geometry-optimized Tb2PrSm3 structure.

Computed properties:
crystal system: monoclinic
magnetization: 0.00 μB/f.u.

Structure (CIF):
```
data_Tb2PrSm3
_chemical_formula_sum 'Tb8 Pr4 Sm12'
_symmetry_space_group_name_H-M 'C 1 2/c 1'
_symmetry_Int_Tables_number 15
_cell_length_a 10.238
_cell_length_b 7.237
_cell_length_c 12.000
_cell_angle_alpha 90.00
_cell_angle_beta 115.21
_cell_angle_gamma 90.00
loop_
_symmetry_equiv_pos_as_xyz
'x,y,z'
'-x,-y,-z'
'-x,y,-z+1/2'
'x,-y,z+1/2'
'x+1/2,y+1/2,z'
'-x+1/2,-y+1/2,-z'
'-x+1/2,y+1/2,-z+1/2'
'x+1/2,-y+1/2,z+1/2'
loop_
_atom_site_label
_atom_site_type_symbol
_atom_site_fract_x
_atom_site_fract_y
_atom_site_fract_z
Tb1 Tb 0.166 0.125 0.082
Pr1 Pr 0.000 0.374 0.250
Sm1 Sm 0.000 0.125 0.750
Sm2 Sm 0.167 0.375 0.583
```

b.
Density functional theory data (PBE) for a geometry-optimized Tb2PrSm3 structure.

Computed properties:
crystal system: orthorhombic
magnetization: 0.00 μB/f.u.

Structure (CIF):
```
data_Tb2PrSm3
_chemical_formula_sum 'Tb4 Pr2 Sm6'
_symmetry_space_group_name_H-M 'I m m m'
_symmetry_Int_Tables_number 71
_symmetry_space_group_name_Hall '-I 2 2'
_cell_length_a 3.495
_cell_length_b 5.991
_cell_length_c 19.711
_cell_angle_alpha 90.00
_cell_angle_beta 90.00
_cell_angle_gamma 90.00
loop_
_atom_site_label
_atom_site_type_symbol
_atom_site_fract_x
_atom_site_fract_y
_atom_site_fract_z
Tb1 Tb 0.000 0.000 0.138
Pr1 Pr 0.000 0.000 0.500
Sm1 Sm 0.000 0.000 0.308
Sm2 Sm 0.000 0.500 0.500
```

Stability, highest: a

a.
Density functional theory data (PBE) for a geometry-optimized Tb5PrSm2 structure.

Computed properties:
crystal system: orthorhombic
magnetization: 0.00 μB/f.u.

Structure (CIF):
```
data_Tb5PrSm2
_chemical_formula_sum 'Tb10 Pr2 Sm4'
_symmetry_space_group_name_H-M 'P b a m'
_symmetry_Int_Tables_number 55
_cell_length_a 7.200
_cell_length_b 14.404
_cell_length_c 5.077
_cell_angle_alpha 90.00
_cell_angle_beta 90.00
_cell_angle_gamma 90.00
loop_
_symmetry_equiv_pos_as_xyz
'x,y,z'
'-x,-y,-z'
'-x,-y,z'
'x,y,-z'
'x+1/2,-y+1/2,-z'
'-x+1/2,y+1/2,z'
'-x+1/2,y+1/2,-z'
'x+1/2,-y+1/2,z'
loop_
_atom_site_label
_atom_site_type_symbol
_atom_site_fract_x
_atom_site_fract_y
_atom_site_fract_z
Tb1 Tb 0.000 0.000 0.000
Tb2 Tb 0.001 0.249 0.000
Tb3 Tb 0.250 0.126 0.500
Pr1 Pr 0.000 0.500 0.000
Sm1 Sm 0.249 0.874 0.500
```

b.
Density functional theory data (PBE) for a geometry-optimized Tb5PrSm2 structure.

Computed properties:
crystal system: monoclinic
magnetization: 0.00 μB/f.u.

Structure (CIF):
```
data_Tb5PrSm2
_chemical_formula_sum 'Tb10 Pr2 Sm4'
_symmetry_space_group_name_H-M 'P 1 21/m 1'
_symmetry_Int_Tables_number 11
_cell_length_a 7.178
_cell_length_b 10.087
_cell_length_c 7.866
_cell_angle_alpha 90.00
_cell_angle_beta 103.11
_cell_angle_gamma 90.00
loop_
_symmetry_equiv_pos_as_xyz
'x,y,z'
'-x,-y,-z'
'-x,y+1/2,-z'
'x,-y+1/2,z'
loop_
_atom_site_label
_atom_site_type_symbol
_atom_site_fract_x
_atom_site_fract_y
_atom_site_fract_z
Tb1 Tb 0.069 0.250 0.280
Tb2 Tb 0.093 0.591 0.364
Tb3 Tb 0.246 0.029 0.000
Pr1 Pr 0.425 0.750 0.732
Sm1 Sm 0.413 0.094 0.639
```

Stability, highest: a

a.
Density functional theory data (PBE) for a geometry-optimized Tb3Pr4Sm structure.

Computed properties:
crystal system: orthorhombic
magnetization: 0.00 μB/f.u.

Structure (CIF):
```
data_Tb3Pr4Sm
_chemical_formula_sum 'Tb6 Pr8 Sm2'
_symmetry_space_group_name_H-M 'P m n 21'
_symmetry_Int_Tables_number 31
_cell_length_a 11.784
_cell_length_b 7.376
_cell_length_c 6.367
_cell_angle_alpha 90.00
_cell_angle_beta 90.00
_cell_angle_gamma 90.00
loop_
_symmetry_equiv_pos_as_xyz
'x,y,z'
'-x+1/2,-y,z+1/2'
'-x,y,z'
'x+1/2,-y,z+1/2'
loop_
_atom_site_label
_atom_site_type_symbol
_atom_site_fract_x
_atom_site_fract_y
_atom_site_fract_z
Tb1 Tb 0.000 0.121 0.000
Tb2 Tb 0.250 0.121 0.332
Pr1 Pr 0.000 0.372 0.496
Pr2 Pr 0.000 0.629 0.001
Pr3 Pr 0.248 0.373 0.834
Sm1 Sm 0.000 0.877 0.501
```

b.
Density functional theory data (PBE) for a geometry-optimized Tb3Pr4Sm structure.

Computed properties:
crystal system: orthorhombic
magnetization: 0.00 μB/f.u.

Structure (CIF):
```
data_Tb3Pr4Sm
_chemical_formula_sum 'Tb6 Pr8 Sm2'
_symmetry_space_group_name_H-M 'P m n a'
_symmetry_Int_Tables_number 53
_cell_length_a 10.341
_cell_length_b 7.281
_cell_length_c 7.280
_cell_angle_alpha 90.00
_cell_angle_beta 90.00
_cell_angle_gamma 90.00
loop_
_symmetry_equiv_pos_as_xyz
'x,y,z'
'-x,-y,-z'
'-x+1/2,-y,z+1/2'
'x+1/2,y,-z+1/2'
'x,-y,-z'
'-x,y,z'
'-x+1/2,y,-z+1/2'
'x+1/2,-y,z+1/2'
loop_
_atom_site_label
_atom_site_type_symbol
_atom_site_fract_x
_atom_site_fract_y
_atom_site_fract_z
Tb1 Tb 0.000 0.000 0.000
Tb2 Tb 0.250 0.249 0.250
Pr1 Pr 0.000 0.000 0.500
Pr2 Pr 0.000 0.500 0.000
Pr3 Pr 0.250 0.249 0.750
Sm1 Sm 0.000 0.500 0.500
```

Stability, highest: b